1.
Material: Al2IrPb
Method: DFT, GGA-PBE
State: optimized geometry

Results
Its energy of formation is -0.24 eV/atom. The final energy is -21.01 eV per cell.

abc: 3.0167 3.0167 8.4073
angles: 90.00 90.00 90.00
Last column: nearest neighbours and their distance in Å.
Fractional positions:
Al  0.0000  0.0000  0.1822  4 Ir 2.63
Al  0.0000  0.0000  0.8178  4 Ir 2.63
Ir  0.5000  0.5000  0.0000  8 Al 2.63
Pb  0.5000  0.5000  0.5000  4 Pb 3.02

2.
Material: Ho8ErSc3
Method: DFT, GGA-PBE
State: optimized geometry

Results
Its energy of formation is 0.08 eV/atom. The final energy is -59.22 eV per cell.

abc: 5.7746 8.3586 8.6341
angles: 65.77 73.55 71.54
Last column: nearest neighbours and their distance in Å.
Fractional positions:
Ho  0.0000  0.0000  0.0000  3 Sc 3.35-3.58, 7 Ho 3.38-3.75, 1 Er 3.49
Ho  0.0259  0.7132  0.4213  2 Sc 3.23-3.61, 6 Ho 3.25-3.60, 1 Er 3.39
Ho  0.1516  0.4835  0.1461  4 Sc 3.36-3.48, 6 Ho 3.41-3.52, 1 Er 3.42
Ho  0.2169  0.2442  0.5710  4 Sc 3.33-3.37, 6 Ho 3.40-3.50, 1 Er 3.41
Ho  0.3304  0.0252  0.2919  3 Sc 3.21-3.50, 5 Ho 3.25-3.47
Ho  0.3589  0.7337  0.7139  2 Sc 3.32-3.57, 2 Er 3.33-3.69, 6 Ho 3.34-3.70
Ho  0.5624  0.7346  0.0836  8 Ho 3.33-3.70, 2 Sc 3.34-3.59, 1 Er 3.40
Ho  0.7942  0.9923  0.6535  3 Sc 3.31-3.53, 7 Ho 3.34-3.61
Er  0.8860  0.4694  0.8458  3 Sc 3.25-3.37, 6 Ho 3.33-3.49
Sc  0.4595  0.2545  0.8778  1 Sc 3.17, 2 Er 3.26-3.37, 5 Ho 3.28-3.37
Sc  0.6499  0.4677  0.4848  2 Sc 3.09-3.17, 5 Ho 3.23-3.34
Sc  0.7146  0.2510  0.2527  1 Sc 3.09, 6 Ho 3.21-3.38, 1 Er 3.25

3.
Material: Cs2GeTe
Method: DFT, GGA-PBE
State: optimized geometry

Results
The energy relative to the lowest polymorph listed for this composition comes out at 451.9 meV per atom. The final energy is -9.82 eV per cell. The calculation puts the raw formation energy at -0.4 eV/f.u.

abc: 6.4067 6.4067 6.4067
angles: 60.00 60.00 60.00
Last column: nearest neighbours and their distance in Å.
Fractional positions:
Cs  0.2500  0.2500  0.2500  4 Ge 3.92, 4 Te 3.92
Cs  0.7500  0.7500  0.7500  4 Ge 3.92, 4 Te 3.92
Ge  0.0000  0.0000  0.0000  8 Cs 3.92
Te  0.5000  0.5000  0.5000  8 Cs 3.92

4.
Material: Tb4Y3HoSe8
Method: DFT, GGA-PBE
State: optimized geometry

Results
The final energy is -98.51 eV per cell. The calculation puts the raw formation energy at -28.1 eV/f.u.

abc: 8.1799 8.1799 8.1799
angles: 59.94 59.94 59.94
Last column: nearest neighbours and their distance in Å.
Fractional positions:
Tb  0.0000  0.0000  0.0000  6 Se 2.91
Tb  0.0000  0.5000  0.5000  6 Se 2.89
Tb  0.5000  0.0000  0.5000  6 Se 2.89
Tb  0.5000  0.5000  0.0000  6 Se 2.89
Y  0.0000  0.0000  0.5000  6 Se 2.89
Y  0.0000  0.5000  0.0000  6 Se 2.89
Y  0.5000  0.0000  0.0000  6 Se 2.89
Ho  0.5000  0.5000  0.5000  6 Se 2.87
Se  0.2497  0.2497  0.2497  3 Y 2.89, 3 Tb 2.89
Se  0.2510  0.7484  0.7484  1 Ho 2.87, 2 Y 2.89, 3 Tb 2.89-2.91
Se  0.2516  0.2516  0.7490  1 Ho 2.87, 2 Y 2.89, 3 Tb 2.89-2.91
Se  0.2516  0.7490  0.2516  1 Ho 2.87, 2 Y 2.89, 3 Tb 2.89-2.91
Se  0.7484  0.2510  0.7484  1 Ho 2.87, 2 Y 2.89, 3 Tb 2.89-2.91
Se  0.7484  0.7484  0.2510  1 Ho 2.87, 2 Y 2.89, 3 Tb 2.89-2.91
Se  0.7490  0.2516  0.2516  1 Ho 2.87, 2 Y 2.89, 3 Tb 2.89-2.91
Se  0.7503  0.7503  0.7503  3 Y 2.89, 3 Tb 2.89

5.
Material: Sc6Tc2Pd
Method: DFT, GGA-PBE
State: optimized geometry

Results
Its energy of formation is -0.29 eV/atom. The final energy is -132.98 eV per cell.

abc: 7.8549 7.8549 7.8549
angles: 110.66 110.49 107.29
Last column: nearest neighbours and their distance in Å.
Fractional positions:
Sc  0.0317  0.8350  0.1966  3 Tc 2.63-2.79
Sc  0.2610  0.3214  0.5824  3 Tc 2.70-2.91, 1 Pd 2.83
Sc  0.2612  0.5630  0.3017  2 Tc 2.70-2.90, 2 Pd 2.84-3.01
Sc  0.2610  0.6786  0.9396  3 Tc 2.70-2.91, 1 Pd 2.83
Sc  0.2612  0.9595  0.6983  2 Tc 2.70-2.90, 2 Pd 2.84-3.01
Sc  0.3616  0.1650  0.1966  3 Tc 2.63-2.79
Sc  0.6384  0.8350  0.8034  3 Tc 2.63-2.79
Sc  0.7388  0.0405  0.3017  2 Tc 2.70-2.90, 2 Pd 2.84-3.01
Sc  0.7390  0.3214  0.0604  3 Tc 2.70-2.91, 1 Pd 2.83
Sc  0.7388  0.4370  0.6983  2 Tc 2.70-2.90, 2 Pd 2.84-3.01
Sc  0.7390  0.6786  0.4176  3 Tc 2.70-2.91, 1 Pd 2.83
Sc  0.9683  0.1650  0.8034  3 Tc 2.63-2.79
Tc  0.0000  0.1712  0.1712  8 Sc 2.70-2.79, 1 Pd 2.94
Tc  0.0000  0.8288  0.8288  8 Sc 2.70-2.79, 1 Pd 2.94
Tc  0.3749  0.3749  0.0000  1 Tc 2.33
Tc  0.6251  0.6251  0.0000  1 Tc 2.33
Pd  0.0000  0.5000  0.5000  8 Sc 2.83-3.01, 2 Tc 2.94
Pd  0.5000  0.0000  0.5000  8 Sc 2.84-3.12

6.
Material: Mg2VNi
Method: DFT, GGA-PBE
State: optimized geometry

Results
The energy relative to the lowest polymorph listed for this composition comes out at 0.0 meV per atom. Its energy of formation is 0.28 eV/atom. The final energy is -16.96 eV per cell.

abc: 4.5139 4.5139 4.5139
angles: 60.00 60.00 60.00
Last column: nearest neighbours and their distance in Å.
Fractional positions:
Mg  0.2500  0.2500  0.2500  4 Ni 2.76, 4 V 2.76
Mg  0.7500  0.7500  0.7500  4 Ni 2.76, 4 V 2.76
V  0.0000  0.0000  0.0000  8 Mg 2.76
Ni  0.5000  0.5000  0.5000  8 Mg 2.76

7.
Material: CaYAg6
Method: DFT, GGA-PBE
State: optimized geometry

Results
The energy relative to the lowest polymorph listed for this composition comes out at 0.0 meV per atom. Its energy of formation is -0.20 eV/atom. The final energy is -27.19 eV per cell.

abc: 5.2743 5.2743 8.9404
angles: 115.09 115.09 49.08
Last column: nearest neighbours and their distance in Å.
Fractional positions:
Ca  0.0000  0.0000  0.0000  12 Ag 3.06-3.15
Y  0.0000  0.0000  0.5000  12 Ag 3.05-3.11
Ag  0.2461  0.2461  0.8726  8 Ag 3.02-3.14, 1 Y 3.06, 3 Ca 3.06-3.07
Ag  0.2493  0.2493  0.3756  8 Ag 3.05-3.13, 3 Y 3.05-3.07, 1 Ca 3.08
Ag  0.4995  0.4995  0.2529  8 Ag 3.02-3.13, 2 Y 3.11, 2 Ca 3.15
Ag  0.5005  0.5005  0.7471  8 Ag 3.02-3.13, 2 Y 3.11, 2 Ca 3.15
Ag  0.7507  0.7507  0.6244  8 Ag 3.05-3.13, 3 Y 3.05-3.07, 1 Ca 3.08
Ag  0.7539  0.7539  0.1274  8 Ag 3.02-3.14, 1 Y 3.06, 3 Ca 3.06-3.07

8.
Material: BaSeO2
Method: DFT, GGA-PBE
State: optimized geometry

Results
The final energy is -39.35 eV per cell. The calculation puts the raw formation energy at -4.4 eV/f.u.

abc: 7.5021 7.5021 7.5021
angles: 141.26 141.26 55.94
Last column: nearest neighbours and their distance in Å.
Fractional positions:
Ba  0.0000  0.0000  0.0000  4 O 2.67
Ba  0.7500  0.2500  0.5000  4 O 2.67
Se  0.2500  0.7500  0.5000  4 O 2.22
Se  0.5000  0.5000  0.0000  4 O 2.22
O  0.2139  0.6250  0.0889  2 Se 2.22
O  0.3750  0.4639  0.5889  2 Se 2.22
O  0.5361  0.1250  0.9111  2 Se 2.22
O  0.8750  0.7861  0.4111  2 Se 2.22